Computed, not measured: crystalline Mg2In5Pb4 at its relaxed geometry at the PBE level of DFT.

Its density of states at the Fermi level is 4.91 states/eV/cell. The calculated volume is 28.12 A^3/atom. For the formation enthalpy at 0 K, the calculation gives 20 meV per atom.

The space group is P2/m (No. 10) and the conventional cell measures 8.1848, 3.4900 and 10.8590 Å, with angles of 90.00, 94.41 and 90.00 degrees. The asymmetric unit holds Mg at (0.0621, 0.0000, 0.1398), In at (0.1987, 0.0000, 0.6644), In at (0.4377, 0.0000, 0.2031), In at (0.5000, 0.0000, 0.5000), Pb at (0.1585, 0.5000, 0.3889) and Pb at (0.2745, 0.5000, 0.9462).